First-principles (PBE+U) data for MoW2O8 after structural relaxation, as listed in Alexandria via LeMat-Bulk.

- crystal system = monoclinic
- DFT total energy (eV per formula unit) = -81.2
- size of the total moment (μB/f.u.) = 2.00

```
MoW2O8
1.0
5.045 0.000 0.000
0.000 5.852 0.000
-5.026 0.000 9.592
Mo W O
2 4 16
direct
0.000 0.154 0.250
0.000 0.846 0.750
0.256 0.330 0.993
0.256 0.670 0.493
0.744 0.330 0.507
0.744 0.670 0.007
0.009 0.103 0.881
0.009 0.897 0.381
0.026 0.391 0.106
0.026 0.609 0.606
0.452 0.153 0.369
0.452 0.847 0.869
0.457 0.394 0.891
0.457 0.606 0.391
0.543 0.394 0.609
0.543 0.606 0.109
0.548 0.153 0.131
0.548 0.847 0.631
0.974 0.391 0.394
0.974 0.609 0.894
0.991 0.103 0.619
0.991 0.897 0.119
```